1.
# SrTl6Hg2 PBE-GGA relaxed
data_SrTl6Hg2
_chemical_formula_sum 'Sr3 Tl18 Hg6'
_cell_length_a 5.6406
_cell_length_b 5.6406
_cell_length_c 31.7617
_cell_angle_alpha 90.00
_cell_angle_beta 90.00
_cell_angle_gamma 120.00
_symmetry_space_group_name_H-M 'R -3 m'
_symmetry_Int_Tables_number 166
_symmetry_space_group_name_Hall '-R 3 2"'
loop_
_atom_site_label
_atom_site_fract_x
_atom_site_fract_y
_atom_site_fract_z
_atom_site_occupancy
Sr1 0.0000 0.0000 0.0000 1
Tl1 0.0000 0.0000 0.2030 1
Tl2 0.0000 0.0000 0.3055 1
Tl3 0.0000 0.0000 0.4144 1
Hg1 0.0000 0.0000 0.1058 1
# density of states at the Fermi level	4.27	states/eV/f.u.
# excess energy over the best structure of this formula in the dataset	60	meV per atom



2.
# AgOs2Pt PBE-GGA relaxed
data_AgOs2Pt
_chemical_formula_sum 'Ag1 Os2 Pt1'
_cell_length_a 2.725
_cell_length_b 4.071
_cell_length_c 5.547
_cell_angle_alpha 90.00
_cell_angle_beta 90.00
_cell_angle_gamma 90.00
_symmetry_space_group_name_H-M 'P m m m'
_symmetry_Int_Tables_number 47
_symmetry_space_group_name_Hall '-P 2 2'
loop_
_atom_site_label
_atom_site_fract_x
_atom_site_fract_y
_atom_site_fract_z
_atom_site_occupancy
Ag1 0.000 0.000 0.000 1
Os1 0.500 0.500 0.266 1
Pt1 0.000 0.000 0.500 1
# density of states at the Fermi level	4.58	states/eV/f.u.
# energy	-7.22	eV/atom



Among the records above, which one has the highest density of states at the Fermi level? AgOs2Pt



density of states at the Fermi level of number 1 (SrTl6Hg2)? 4.27 states/eV/f.u.



Which formula does entry 1 have? SrTl6Hg2